Entry from OQMD: an optimized crystal structure of ZnSF (PBE-GGA).

Cell lengths 4.646, 3.476, 5.502 Å; angles 90.00, 99.87, 90.00 degrees
Fractional coordinates of all 6 atoms:
S 0.310 0.500 0.870
Zn 0.000 0.000 0.000
S 0.690 0.500 0.130
F 0.763 0.000 0.641
Zn 0.500 0.500 0.500
F 0.237 0.000 0.359

Entry from OQMD: an optimized crystal structure of ZnSF (PBE-GGA).

Cell lengths 3.063, 3.063, 15.676 Å; angles 90.00, 90.00, 120.00 degrees
Fractional coordinates of all 9 atoms:
F 0.333 0.667 0.583
S 0.667 0.333 0.429
S 0.333 0.667 0.763
Zn 0.000 0.000 0.994
F 0.667 0.333 0.920
Zn 0.000 0.000 0.655
F 0.667 0.333 0.067
Zn 0.000 0.000 0.325
S 0.333 0.667 0.220

Entry from OQMD: an optimized crystal structure of Sm2Sb6F (PBE-GGA).

Results
**M_tot**: 0.004 μB/f.u.

Cell lengths 6.861, 6.861, 6.861 Å; angles 60.00, 60.00, 60.00 degrees
Fractional coordinates of all 9 atoms:
Sb 0.739 0.261 0.261
Sb 0.261 0.739 0.261
Sb 0.261 0.261 0.739
Sb 0.739 0.261 0.739
Sb 0.739 0.739 0.261
Sm 0.750 0.750 0.750
Sb 0.261 0.739 0.739
Sm 0.250 0.250 0.250
F 0.000 0.000 0.000

Entry from OQMD: an optimized crystal structure of SrZnSbF (PBE-GGA).

Cell lengths 4.286, 4.286, 9.429 Å; angles 90.00, 90.00, 90.00 degrees
Fractional coordinates of all 8 atoms:
Zn 0.000 0.000 0.500
Sb 0.500 0.000 0.680
Sr 0.000 0.500 0.859
Sr 0.500 0.000 0.141
Zn 0.500 0.500 0.500
Sb 0.000 0.500 0.320
F 0.000 0.000 0.000
F 0.500 0.500 0.000

Entry from OQMD: an optimized crystal structure of TaSbF8 (PBE-GGA).

Results
**M_tot**: 0.003 μB/f.u.

Cell lengths 5.105, 7.077, 6.758 Å; angles 90.00, 96.50, 90.00 degrees
Fractional coordinates of all 20 atoms:
F 0.299 0.019 0.793
F 0.750 0.057 0.707
F 0.132 0.250 0.562
F 0.750 0.443 0.707
Sb 0.092 0.750 0.773
Ta 0.518 0.750 0.295
Sb 0.908 0.250 0.227
F 0.868 0.750 0.438
F 0.078 0.250 0.987
F 0.250 0.557 0.293
F 0.250 0.943 0.293
F 0.580 0.250 0.999
F 0.299 0.481 0.793
F 0.420 0.750 0.001
Ta 0.482 0.250 0.705
F 0.922 0.750 0.013
F 0.701 0.518 0.207
F 0.537 0.250 0.424
F 0.701 0.981 0.207
F 0.463 0.750 0.576

Entry from OQMD: an optimized crystal structure of ZnSb2Xe6F24 (PBE-GGA).

Cell lengths 9.427, 9.427, 20.812 Å; angles 90.00, 90.00, 60.00 degrees
Fractional coordinates of all 99 atoms:
F 0.532 0.899 0.885
F 0.225 0.251 0.866
F 0.809 0.109 0.801
Sb 0.000 0.000 0.748
F 0.497 0.145 0.613
Sb 0.000 0.000 0.252
F 0.595 0.853 0.026
F 0.262 0.520 0.360
F 0.072 0.813 0.307
F 0.101 0.431 0.115
F 0.801 0.434 0.782
F 0.434 0.765 0.782
F 0.738 0.480 0.640
Xe 0.317 0.802 0.418
F 0.199 0.566 0.218
F 0.308 0.170 0.721
Sb 0.333 0.333 0.414
Xe 0.984 0.469 0.751
Xe 0.864 0.786 0.916
F 0.082 0.809 0.801
F 0.767 0.098 0.449
F 0.145 0.358 0.613
F 0.251 0.524 0.866
F 0.552 0.595 0.026
F 0.191 0.891 0.199
F 0.188 0.975 0.054
F 0.749 0.476 0.134
F 0.431 0.468 0.115
F 0.853 0.552 0.026
F 0.468 0.101 0.115
Xe 0.786 0.350 0.916
F 0.109 0.082 0.801
Xe 0.016 0.531 0.249
F 0.025 0.163 0.946
F 0.135 0.767 0.449
Zn 0.000 0.000 0.000
F 0.503 0.855 0.387
Xe 0.802 0.881 0.418
F 0.143 0.442 0.467
F 0.837 0.188 0.054
F 0.975 0.837 0.054
F 0.692 0.830 0.279
F 0.235 0.199 0.218
Xe 0.650 0.135 0.084
F 0.813 0.115 0.307
Xe 0.881 0.317 0.418
F 0.442 0.415 0.467
Xe 0.531 0.453 0.249
F 0.865 0.233 0.551
F 0.765 0.801 0.782
F 0.115 0.072 0.307
F 0.584 0.857 0.533
F 0.812 0.025 0.946
F 0.476 0.775 0.134
F 0.569 0.532 0.885
Xe 0.214 0.650 0.084
F 0.558 0.585 0.533
F 0.480 0.782 0.640
Xe 0.350 0.865 0.916
Zn 0.667 0.667 0.333
F 0.885 0.928 0.693
F 0.566 0.235 0.218
F 0.147 0.448 0.974
F 0.233 0.902 0.551
F 0.928 0.187 0.693
Xe 0.469 0.547 0.751
Sb 0.667 0.667 0.586
Xe 0.119 0.683 0.582
F 0.522 0.308 0.721
F 0.478 0.692 0.279
F 0.524 0.225 0.866
F 0.187 0.885 0.693
F 0.405 0.147 0.974
F 0.891 0.918 0.199
Sb 0.667 0.667 0.081
Xe 0.198 0.119 0.582
F 0.416 0.143 0.467
Zn 0.333 0.333 0.667
F 0.830 0.478 0.279
F 0.855 0.642 0.387
F 0.520 0.218 0.360
F 0.782 0.738 0.640
F 0.775 0.749 0.134
F 0.163 0.812 0.946
F 0.899 0.569 0.885
Xe 0.453 0.016 0.249
F 0.642 0.503 0.387
F 0.358 0.497 0.613
Xe 0.136 0.214 0.084
F 0.902 0.865 0.552
F 0.098 0.135 0.448
F 0.448 0.405 0.974
Xe 0.683 0.198 0.582
F 0.857 0.558 0.533
F 0.170 0.522 0.721
Xe 0.547 0.984 0.751
F 0.218 0.262 0.360
Sb 0.333 0.333 0.919
F 0.918 0.191 0.199

Entry from OQMD: an optimized crystal structure of SmSeF (PBE-GGA).

Results
**M_tot**: 0.004 μB/f.u.

Cell lengths 10.718, 10.718, 10.718 Å; angles 157.86, 157.86, 31.51 degrees
Fractional coordinates of all 6 atoms:
F 0.063 0.063 0.000
Se 0.316 0.316 0.000
Sm 0.161 0.161 0.000
Sm 0.839 0.839 0.000
Se 0.684 0.684 0.000
F 0.937 0.937 0.000

Entry from OQMD: an optimized crystal structure of SmSe3F2 (PBE-GGA).

Results
**M_tot**: 0.016 μB/f.u.

Cell lengths 3.882, 3.882, 8.409 Å; angles 90.00, 90.00, 90.00 degrees
Fractional coordinates of all 6 atoms:
F 0.500 0.000 0.195
Se 0.000 0.500 0.461
Se 0.500 0.500 0.000
Se 0.500 0.000 0.539
F 0.000 0.500 0.805
Sm 0.000 0.000 0.000

Entry from OQMD: an optimized crystal structure of TbYSe2F2 (PBE-GGA).

Results
**M_tot**: 0.002 μB/f.u.

Cell lengths 3.858, 3.858, 7.035 Å; angles 90.00, 90.00, 90.00 degrees
Fractional coordinates of all 6 atoms:
F 0.000 0.500 0.000
Se 0.000 0.000 0.359
F 0.500 0.000 0.000
Tb 0.000 0.000 0.784
Se 0.500 0.500 0.640
Y 0.500 0.500 0.218

Entry from OQMD: an optimized crystal structure of Sm4SiF5 (PBE-GGA).

Results
**M_tot**: 0.628 μB/f.u.

Cell lengths 7.505, 7.505, 7.158 Å; angles 117.29, 117.29, 30.54 degrees
Site moments in Bohr magnetons follow the coordinates.
Fractional coordinates of all 10 atoms:
F 0.198 0.198 0.392  0.00
Sm 0.719 0.719 0.219  0.02
Sm 0.281 0.281 0.781  0.02
Sm 0.999 0.999 0.274  0.08
Si 0.500 0.500 0.000  0.00
F 0.500 0.500 0.500  0.01
Sm 0.001 0.001 0.726  0.08
F 0.200 0.200 0.011  0.00
F 0.802 0.802 0.608  0.00
F 0.800 0.800 0.989  0.00

Entry from OQMD: an optimized crystal structure of SmF2 (PBE-GGA).

Results
**M_tot**: 0.839 μB/f.u.

Cell lengths 5.101, 5.101, 3.974 Å; angles 90.00, 90.00, 90.00 degrees
Site moments in Bohr magnetons follow the coordinates.
Fractional coordinates of all 6 atoms:
Sm 0.500 0.500 0.500  0.39
F 0.182 0.818 0.500  0.04
Sm 0.000 0.000 0.000  0.41
F 0.818 0.182 0.500  0.04
F 0.682 0.682 0.000  0.03
F 0.318 0.318 0.000  0.03

Entry from OQMD: an optimized crystal structure of Sm2F3 (PBE-GGA).

Results
**M_tot**: 0.005 μB/f.u.

Cell lengths 6.822, 6.822, 6.793 Å; angles 100.57, 100.57, 32.14 degrees
Fractional coordinates of all 10 atoms:
F 0.304 0.304 0.915
Sm 0.879 0.879 0.154
F 0.934 0.934 0.834
F 0.806 0.806 0.446
F 0.194 0.194 0.554
Sm 0.396 0.396 0.610
Sm 0.604 0.604 0.390
F 0.696 0.696 0.085
Sm 0.121 0.121 0.846
F 0.066 0.066 0.166

Entry from OQMD: an optimized crystal structure of SmF2 (PBE-GGA).

Results
**M_tot**: 0.014 μB/f.u.

Cell lengths 4.730, 4.730, 4.730 Å; angles 60.00, 60.00, 60.00 degrees
Fractional coordinates of all 6 atoms:
F 0.625 0.625 0.125
F 0.625 0.125 0.625
F 0.625 0.625 0.625
Sm 0.250 0.250 0.250
F 0.125 0.625 0.625
Sm 0.000 0.000 0.000

Entry from OQMD: an optimized crystal structure of SmSnF7 (PBE-GGA).

Results
**M_tot**: 0.001 μB/f.u.

Cell lengths 11.088, 5.376, 8.851 Å; angles 90.00, 107.05, 90.00 degrees
Fractional coordinates of all 36 atoms:
F 0.275 0.619 0.316
F 0.450 0.237 0.429
Sn 0.458 0.755 0.730
F 0.360 0.790 0.882
F 0.962 0.577 0.686
F 0.131 0.941 0.849
F 0.725 0.381 0.684
F 0.775 0.881 0.816
F 0.684 0.072 0.421
Sm 0.236 0.261 0.425
F 0.640 0.210 0.118
F 0.911 0.069 0.613
F 0.589 0.569 0.887
Sm 0.736 0.239 0.925
F 0.950 0.263 0.929
Sn 0.958 0.745 0.230
Sm 0.764 0.739 0.575
Sn 0.542 0.245 0.270
Sm 0.264 0.761 0.075
F 0.816 0.572 0.079
F 0.860 0.710 0.382
F 0.631 0.559 0.349
F 0.089 0.931 0.387
Sn 0.042 0.255 0.770
F 0.538 0.077 0.814
F 0.038 0.423 0.314
F 0.369 0.441 0.651
F 0.411 0.431 0.113
F 0.869 0.059 0.151
F 0.184 0.428 0.921
F 0.140 0.290 0.618
F 0.050 0.737 0.071
F 0.550 0.763 0.571
F 0.462 0.923 0.186
F 0.225 0.119 0.184
F 0.316 0.928 0.579

Entry from OQMD: an optimized crystal structure of SrSmF (PBE-GGA).

Results
**M_tot**: 0.002 μB/f.u.

Cell lengths 7.436, 7.436, 3.660 Å; angles 90.01, 90.01, 51.37 degrees
Fractional coordinates of all 6 atoms:
F 0.732 0.732 0.057
Sr 0.876 0.876 0.562
Sm 0.599 0.599 0.563
Sm 0.401 0.401 0.063
F 0.268 0.268 0.557
Sr 0.124 0.124 0.062

Entry from OQMD: an optimized crystal structure of SmZrF7 (PBE-GGA).

Results
**M_tot**: 0.000 μB/f.u.

Cell lengths 11.140, 5.339, 8.669 Å; angles 90.00, 105.93, 90.00 degrees
Fractional coordinates of all 36 atoms:
F 0.448 0.232 0.437
F 0.649 0.953 0.334
F 0.544 0.401 0.764
F 0.851 0.453 0.166
F 0.552 0.768 0.563
Sm 0.734 0.265 0.926
F 0.807 0.938 0.092
Sm 0.234 0.235 0.426
F 0.231 0.365 0.179
F 0.948 0.268 0.937
F 0.956 0.901 0.736
F 0.269 0.865 0.321
F 0.586 0.940 0.895
F 0.044 0.099 0.264
F 0.149 0.547 0.834
Zr 0.042 0.240 0.768
F 0.391 0.629 0.916
F 0.914 0.440 0.605
Zr 0.958 0.760 0.232
Sm 0.766 0.765 0.574
F 0.086 0.560 0.395
F 0.456 0.599 0.236
F 0.109 0.129 0.584
F 0.609 0.371 0.084
F 0.414 0.060 0.105
F 0.891 0.871 0.416
F 0.693 0.438 0.408
F 0.307 0.562 0.592
Zr 0.458 0.740 0.732
F 0.769 0.635 0.821
F 0.193 0.062 0.908
Zr 0.542 0.260 0.268
F 0.351 0.047 0.666
F 0.052 0.732 0.063
F 0.731 0.135 0.679
Sm 0.266 0.735 0.074

Respective electronic total energy values: -3.670 -3.263 -4.610 -4.013 -5.807 -2.903 -5.895 -4.370 -6.493 -5.972 -6.058 -6.158 -4.695 -5.615 -4.165 -6.760 eV/atom.